# 1
Compound: KMn2Ag
Source: the Alexandria database
Functional: GGA-PBE
Structure: relaxed

CIF file:
```
data_KMn2Ag
_symmetry_space_group_name_H-M 'P 1'
_symmetry_Int_Tables_number 1
_symmetry_space_group_name_Hall 'P 1'
_cell_length_a 7.1624
_cell_length_b 7.1624
_cell_length_c 7.1624
_cell_angle_alpha 90.00
_cell_angle_beta 90.00
_cell_angle_gamma 90.00
loop_
_atom_site_label
_atom_site_type_symbol
_atom_site_fract_x
_atom_site_fract_y
_atom_site_fract_z
_atom_site_occupancy
K1 K 0.0000 0.0000 0.0000 1
K2 K 0.0000 0.5000 0.5000 1
K3 K 0.5000 0.0000 0.5000 1
K4 K 0.5000 0.5000 0.0000 1
Mn1 Mn 0.0000 0.0000 0.5000 1
Mn2 Mn 0.0000 0.5000 0.0000 1
Mn3 Mn 0.2500 0.2500 0.2500 1
Mn4 Mn 0.2500 0.7500 0.7500 1
Mn5 Mn 0.5000 0.0000 0.0000 1
Mn6 Mn 0.5000 0.5000 0.5000 1
Mn7 Mn 0.7500 0.2500 0.7500 1
Mn8 Mn 0.7500 0.7500 0.2500 1
Ag1 Ag 0.2500 0.2500 0.7500 1
Ag2 Ag 0.2500 0.7500 0.2500 1
Ag3 Ag 0.7500 0.2500 0.2500 1
Ag4 Ag 0.7500 0.7500 0.7500 1
```

Computed properties:
* excess energy over the best structure of this formula in the dataset: 1.50 eV per formula unit
* symmetry: F-43m, No. 216
* total energy: -4.59 eV per atom
* energy of formation: 977.8 meV per atom

# 2
Compound: SrCoSi3Ni
Source: the Alexandria database
Functional: GGA-PBE
Structure: relaxed

CIF file:
```
data_SrCoSi3Ni
_symmetry_space_group_name_H-M 'P 1'
_symmetry_Int_Tables_number 1
_symmetry_space_group_name_Hall 'P 1'
_cell_length_a 6.6614
_cell_length_b 6.6614
_cell_length_c 5.8713
_cell_angle_alpha 90.00
_cell_angle_beta 90.00
_cell_angle_gamma 125.35
loop_
_atom_site_label
_atom_site_type_symbol
_atom_site_fract_x
_atom_site_fract_y
_atom_site_fract_z
_atom_site_occupancy
Sr1 Sr 0.2403 0.7597 0.7500 1
Sr2 Sr 0.7597 0.2403 0.2500 1
Co1 Co 0.0439 0.9561 0.2500 1
Co2 Co 0.9561 0.0439 0.7500 1
Si1 Si 0.2194 0.7806 0.2500 1
Si2 Si 0.2828 0.2828 0.0000 1
Si3 Si 0.2828 0.2828 0.5000 1
Si4 Si 0.7172 0.7172 0.0000 1
Si5 Si 0.7172 0.7172 0.5000 1
Si6 Si 0.7806 0.2194 0.7500 1
Ni1 Ni 0.3989 0.6011 0.2500 1
Ni2 Ni 0.6011 0.3989 0.7500 1
```

Computed properties:
* symmetry: Cmcm, No. 63
* total energy: -5.45 eV per atom
* formation energy (no corrections): -306 meV per atom

# 3
Compound: AcBePd2
Source: the Alexandria database
Functional: GGA-PBE
Structure: relaxed

CIF file:
```
data_AcBePd2
_symmetry_space_group_name_H-M 'P 1'
_symmetry_Int_Tables_number 1
_symmetry_space_group_name_Hall 'P 1'
_cell_length_a 4.1874
_cell_length_b 4.1874
_cell_length_c 16.0938
_cell_angle_alpha 90.00
_cell_angle_beta 90.00
_cell_angle_gamma 120.00
loop_
_atom_site_label
_atom_site_type_symbol
_atom_site_fract_x
_atom_site_fract_y
_atom_site_fract_z
_atom_site_occupancy
Ac1 Ac 0.0000 0.0000 0.0000 1
Ac2 Ac 0.3333 0.6667 0.6667 1
Ac3 Ac 0.6667 0.3333 0.3333 1
Be1 Be 0.0000 0.0000 0.5000 1
Be2 Be 0.3333 0.6667 0.1667 1
Be3 Be 0.6667 0.3333 0.8333 1
Pd1 Pd 0.0000 0.0000 0.2070 1
Pd2 Pd 0.0000 0.0000 0.7930 1
Pd3 Pd 0.3333 0.6667 0.4597 1
Pd4 Pd 0.3333 0.6667 0.8736 1
Pd5 Pd 0.6667 0.3333 0.1264 1
Pd6 Pd 0.6667 0.3333 0.5403 1
```

Computed properties:
* symmetry: R-3m, No. 166
* total energy: -5.17 eV per atom
* energy of formation: -614.7 meV per atom

# 4
Compound: Ba2UBiSe6
Source: the Alexandria database
Functional: GGA-PBE
Structure: relaxed

CIF file:
```
data_Ba2UBiSe6
_symmetry_space_group_name_H-M 'P 1'
_symmetry_Int_Tables_number 1
_symmetry_space_group_name_Hall 'P 1'
_cell_length_a 7.4697
_cell_length_b 7.9585
_cell_length_c 13.1497
_cell_angle_alpha 90.00
_cell_angle_beta 124.28
_cell_angle_gamma 90.00
loop_
_atom_site_label
_atom_site_type_symbol
_atom_site_fract_x
_atom_site_fract_y
_atom_site_fract_z
_atom_site_occupancy
Ba1 Ba 0.2212 0.0819 0.2487 1
Ba2 Ba 0.2212 0.4181 0.7487 1
Ba3 Ba 0.7788 0.5819 0.2513 1
Ba4 Ba 0.7788 0.9181 0.7513 1
U1 U 0.5000 0.0000 0.0000 1
U2 U 0.5000 0.5000 0.5000 1
Bi1 Bi 0.0000 0.0000 0.5000 1
Bi2 Bi 0.0000 0.5000 0.0000 1
Se1 Se 0.1507 0.1872 0.9521 1
Se2 Se 0.1507 0.3128 0.4521 1
Se3 Se 0.2669 0.7040 0.9478 1
Se4 Se 0.2669 0.7960 0.4478 1
Se5 Se 0.3582 0.0211 0.7579 1
Se6 Se 0.3582 0.4789 0.2579 1
Se7 Se 0.6418 0.5211 0.7421 1
Se8 Se 0.6418 0.9789 0.2421 1
Se9 Se 0.7331 0.2040 0.5522 1
Se10 Se 0.7331 0.2960 0.0522 1
Se11 Se 0.8493 0.6872 0.5479 1
Se12 Se 0.8493 0.8128 0.0479 1
```

Computed properties:
* symmetry: P2_1/c, No. 14
* total energy: -5.31 eV per atom
* formation energy (no corrections): -1321 meV per atom

# 5
Compound: DyYAlCo
Source: the Alexandria database
Functional: GGA-PBE
Structure: relaxed

CIF file:
```
data_DyYAlCo
_symmetry_space_group_name_H-M 'P 1'
_symmetry_Int_Tables_number 1
_symmetry_space_group_name_Hall 'P 1'
_cell_length_a 7.0236
_cell_length_b 7.0236
_cell_length_c 7.0236
_cell_angle_alpha 90.00
_cell_angle_beta 90.00
_cell_angle_gamma 90.00
loop_
_atom_site_label
_atom_site_type_symbol
_atom_site_fract_x
_atom_site_fract_y
_atom_site_fract_z
_atom_site_occupancy
Dy1 Dy 0.0000 0.0000 0.0000 1
Dy2 Dy 0.0000 0.5000 0.5000 1
Dy3 Dy 0.5000 0.0000 0.5000 1
Dy4 Dy 0.5000 0.5000 0.0000 1
Y1 Y 0.0000 0.0000 0.5000 1
Y2 Y 0.0000 0.5000 0.0000 1
Y3 Y 0.5000 0.0000 0.0000 1
Y4 Y 0.5000 0.5000 0.5000 1
Al1 Al 0.2500 0.2500 0.2500 1
Al2 Al 0.2500 0.7500 0.7500 1
Al3 Al 0.7500 0.2500 0.7500 1
Al4 Al 0.7500 0.7500 0.2500 1
Co1 Co 0.2500 0.2500 0.7500 1
Co2 Co 0.2500 0.7500 0.2500 1
Co3 Co 0.7500 0.2500 0.2500 1
Co4 Co 0.7500 0.7500 0.7500 1
```

Computed properties:
* symmetry: F-43m, No. 216
* total energy: -5.69 eV per atom
* energy of formation: -206.9 meV per atom

# 6
Compound: LiCaNb3
Source: the Alexandria database
Functional: GGA-PBE
Structure: relaxed

CIF file:
```
data_LiCaNb3
_symmetry_space_group_name_H-M 'P 1'
_symmetry_Int_Tables_number 1
_symmetry_space_group_name_Hall 'P 1'
_cell_length_a 4.8522
_cell_length_b 4.8522
_cell_length_c 4.8522
_cell_angle_alpha 90.00
_cell_angle_beta 90.00
_cell_angle_gamma 90.00
loop_
_atom_site_label
_atom_site_type_symbol
_atom_site_fract_x
_atom_site_fract_y
_atom_site_fract_z
_atom_site_occupancy
Li1 Li 0.0000 0.0000 0.0000 1
Ca1 Ca 0.5000 0.5000 0.5000 1
Nb1 Nb 0.0000 0.5000 0.5000 1
Nb2 Nb 0.5000 0.0000 0.5000 1
Nb3 Nb 0.5000 0.5000 0.0000 1
```

Computed properties:
* excess energy over the best structure of this formula in the dataset: 5.44 eV per formula unit
* symmetry: Pm-3m, No. 221
* total energy: -4.56 eV per atom
* energy of formation: 2264.6 meV per atom

# 7
Compound: Hg3Au
Source: the Alexandria database
Functional: GGA-PBE
Structure: relaxed

CIF file:
```
data_Hg3Au
_symmetry_space_group_name_H-M 'P 1'
_symmetry_Int_Tables_number 1
_symmetry_space_group_name_Hall 'P 1'
_cell_length_a 7.1547
_cell_length_b 7.1547
_cell_length_c 4.3061
_cell_angle_alpha 90.00
_cell_angle_beta 90.00
_cell_angle_gamma 120.00
loop_
_atom_site_label
_atom_site_type_symbol
_atom_site_fract_x
_atom_site_fract_y
_atom_site_fract_z
_atom_site_occupancy
Hg1 Hg 0.1738 0.3475 0.2500 1
Hg2 Hg 0.1738 0.8262 0.2500 1
Hg3 Hg 0.3475 0.1738 0.7500 1
Hg4 Hg 0.6525 0.8262 0.2500 1
Hg5 Hg 0.8262 0.1738 0.7500 1
Hg6 Hg 0.8262 0.6525 0.7500 1
Au1 Au 0.3333 0.6667 0.7500 1
Au2 Au 0.6667 0.3333 0.2500 1
```

Computed properties:
* excess energy over the best structure of this formula in the dataset: 0.37 eV per formula unit
* symmetry: P6_3/mmc, No. 194
* total energy: -0.93 eV per atom
* energy of formation: 113.6 meV per atom

# 8
Compound: TaTcNi2H
Source: the Alexandria database
Functional: GGA-PBE
Structure: relaxed

CIF file:
```
data_TaTcNi2H
_symmetry_space_group_name_H-M 'P 1'
_symmetry_Int_Tables_number 1
_symmetry_space_group_name_Hall 'P 1'
_cell_length_a 3.7211
_cell_length_b 3.7211
_cell_length_c 3.9302
_cell_angle_alpha 90.00
_cell_angle_beta 90.00
_cell_angle_gamma 90.00
loop_
_atom_site_label
_atom_site_type_symbol
_atom_site_fract_x
_atom_site_fract_y
_atom_site_fract_z
_atom_site_occupancy
Ta1 Ta 0.0000 0.0000 0.0000 1
Tc1 Tc 0.5000 0.5000 0.0000 1
Ni1 Ni 0.0000 0.5000 0.5000 1
Ni2 Ni 0.5000 0.0000 0.5000 1
H1 H 0.5000 0.5000 0.5000 1
```

Computed properties:
* excess energy over the best structure of this formula in the dataset: 0.00 eV per formula unit
* symmetry: P4/mmm, No. 123
* total energy: -7.62 eV per atom

# 9
Compound: Rb2Cd3Sn4Ge
Source: the Alexandria database
Functional: GGA-PBE
Structure: relaxed

CIF file:
```
data_Rb2Cd3Sn4Ge
_symmetry_space_group_name_H-M 'P 1'
_symmetry_Int_Tables_number 1
_symmetry_space_group_name_Hall 'P 1'
_cell_length_a 4.9542
_cell_length_b 4.9542
_cell_length_c 12.4031
_cell_angle_alpha 90.00
_cell_angle_beta 90.00
_cell_angle_gamma 90.00
loop_
_atom_site_label
_atom_site_type_symbol
_atom_site_fract_x
_atom_site_fract_y
_atom_site_fract_z
_atom_site_occupancy
Rb1 Rb 0.0000 0.5000 0.2433 1
Rb2 Rb 0.5000 0.0000 0.7567 1
Cd1 Cd 0.0000 0.0000 0.0000 1
Cd2 Cd 0.0000 0.5000 0.6397 1
Cd3 Cd 0.5000 0.0000 0.3603 1
Sn1 Sn 0.0000 0.0000 0.5000 1
Sn2 Sn 0.0000 0.5000 0.8738 1
Sn3 Sn 0.5000 0.0000 0.1262 1
Sn4 Sn 0.5000 0.5000 0.5000 1
Ge1 Ge 0.5000 0.5000 0.0000 1
```

Computed properties:
* symmetry: P-4m2, No. 115
* total energy: -2.65 eV per atom
* energy of formation: -118.7 meV per atom

# 10
Compound: Dy4Mg3Ga
Source: the Alexandria database
Functional: GGA-PBE
Structure: relaxed

CIF file:
```
data_Dy4Mg3Ga
_symmetry_space_group_name_H-M 'P 1'
_symmetry_Int_Tables_number 1
_symmetry_space_group_name_Hall 'P 1'
_cell_length_a 3.6742
_cell_length_b 3.6742
_cell_length_c 15.4046
_cell_angle_alpha 90.00
_cell_angle_beta 90.00
_cell_angle_gamma 90.00
loop_
_atom_site_label
_atom_site_type_symbol
_atom_site_fract_x
_atom_site_fract_y
_atom_site_fract_z
_atom_site_occupancy
Dy1 Dy 0.0000 0.0000 0.1111 1
Dy2 Dy 0.0000 0.0000 0.3700 1
Dy3 Dy 0.0000 0.0000 0.6300 1
Dy4 Dy 0.0000 0.0000 0.8889 1
Mg1 Mg 0.5000 0.5000 0.2428 1
Mg2 Mg 0.5000 0.5000 0.5000 1
Mg3 Mg 0.5000 0.5000 0.7572 1
Ga1 Ga 0.5000 0.5000 0.0000 1
```

Computed properties:
* symmetry: P4/mmm, No. 123
* total energy: -3.49 eV per atom
* energy of formation: -208.6 meV per atom

# 11
Compound: Sc4CuPt
Source: the Alexandria database
Functional: GGA-PBE
Structure: relaxed

CIF file:
```
data_Sc4CuPt
_symmetry_space_group_name_H-M 'P 1'
_symmetry_Int_Tables_number 1
_symmetry_space_group_name_Hall 'P 1'
_cell_length_a 5.5035
_cell_length_b 5.5035
_cell_length_c 5.5035
_cell_angle_alpha 60.00
_cell_angle_beta 60.00
_cell_angle_gamma 60.00
loop_
_atom_site_label
_atom_site_type_symbol
_atom_site_fract_x
_atom_site_fract_y
_atom_site_fract_z
_atom_site_occupancy
Sc1 Sc 0.3760 0.3760 0.3760 1
Sc2 Sc 0.3760 0.3760 0.8719 1
Sc3 Sc 0.3760 0.8719 0.3760 1
Sc4 Sc 0.8719 0.3760 0.3760 1
Cu1 Cu 0.0000 0.0000 0.0000 1
Pt1 Pt 0.7500 0.7500 0.7500 1
```

Computed properties:
* excess energy over the best structure of this formula in the dataset: 3.86 eV per formula unit
* symmetry: F-43m, No. 216
* total energy: -5.66 eV per atom
* energy of formation: 248.6 meV per atom

# 12
Compound: MnOsPt2
Source: the Alexandria database
Functional: GGA-PBE
Structure: relaxed

CIF file:
```
data_MnOsPt2
_symmetry_space_group_name_H-M 'P 1'
_symmetry_Int_Tables_number 1
_symmetry_space_group_name_Hall 'P 1'
_cell_length_a 2.7580
_cell_length_b 3.9358
_cell_length_c 5.4365
_cell_angle_alpha 90.00
_cell_angle_beta 90.00
_cell_angle_gamma 90.00
loop_
_atom_site_label
_atom_site_type_symbol
_atom_site_fract_x
_atom_site_fract_y
_atom_site_fract_z
_atom_site_occupancy
Mn1 Mn 0.0000 0.0000 0.0000 1
Os1 Os 0.0000 0.0000 0.5000 1
Pt1 Pt 0.5000 0.5000 0.2527 1
Pt2 Pt 0.5000 0.5000 0.7473 1
```

Computed properties:
* symmetry: Pmmm, No. 47
* total energy: -8.18 eV per atom
* energy of formation: -57.5 meV per atom